Below is a geometry-optimized Be4Os3 structure, with properties calculated at the PBE level. Values from VASP.

Properties
formation enthalpy at 0 K = 0.45 eV/atom
energy = -6.4874 eV per atom
energy above the most stable polymorph in this dataset = 4.36 eV per formula unit
calculated volume = 89.5 Å³/cell
crystal system = hexagonal

Structure (Quantum ESPRESSO input):
```
&SYSTEM
  ibrav = 0, nat = 7, ntyp = 2
/
ATOMIC_SPECIES
Os 190.23 Os.upf
Be 9.01 Be.upf
CELL_PARAMETERS angstrom
2.5179 -4.3611 0.0000
2.5179 4.3611 0.0000
0.0000 0.0000 4.0774
ATOMIC_POSITIONS crystal
Os 0.5000 0.0000 0.0000
Be 0.0000 0.0000 0.7594
Be 0.0000 0.0000 0.2406
Be 0.6667 0.3333 0.5000
Os 0.5000 0.5000 0.0000
Os 0.0000 0.5000 0.0000
Be 0.3333 0.6667 0.5000
```


Below is a geometry-optimized BaBe3Sn structure, with properties calculated at the PBE level. Values from VASP.

Properties
formation enthalpy at 0 K = 0.79 eV/atom
energy = -2.6331 eV per atom
energy above the most stable polymorph in this dataset = 0.00 eV per formula unit
calculated volume = 115.7 Å³/cell
crystal system = cubic

Structure (Quantum ESPRESSO input):
```
&SYSTEM
  ibrav = 0, nat = 5, ntyp = 3
/
ATOMIC_SPECIES
Be 9.01 Be.upf
Sn 118.71 Sn.upf
Ba 137.33 Ba.upf
CELL_PARAMETERS angstrom
-4.0291 -2.4821 -1.1625
1.6254 -0.4997 -4.5666
2.2069 -4.1635 1.2411
ATOMIC_POSITIONS crystal
Be 0.0000 0.0000 0.5000
Be 0.5000 0.0000 0.0000
Be 0.0000 0.5000 0.0000
Sn 0.0000 0.0000 0.0000
Ba 0.5000 0.5000 0.5000
```


Below is a geometry-optimized Ba2CuSi structure, with properties calculated at the PBE level. Values from VASP.

Properties
energy = -3.2050 eV per atom
ΔE_f (raw) = 136 meV per atom
calculated volume = 120.1 Å³/cell
crystal system = tetragonal

Structure (Quantum ESPRESSO input):
```
&SYSTEM
  ibrav = 0, nat = 4, ntyp = 3
/
ATOMIC_SPECIES
Ba 137.33 Ba.upf
Si 28.09 Si.upf
Cu 63.55 Cu.upf
CELL_PARAMETERS angstrom
-4.6632 4.0501 0.8084
-5.4752 -1.9491 -2.2418
4.3513 -2.4741 3.7077
ATOMIC_POSITIONS crystal
Ba 0.0000 0.0000 0.0000
Si 0.7500 0.2500 0.5000
Cu 0.5000 0.5000 0.0000
Ba 0.2500 0.7500 0.5000
```


Below is a geometry-optimized Si3TePb structure, with properties calculated at the PBE level. Values from VASP.

Properties
energy = -3.4659 eV per atom
energy above the most stable polymorph in this dataset = 0.00 eV per formula unit
ΔE_f (raw) = 1158 meV per atom
calculated volume = 143.1 Å³/cell
crystal system = cubic

Structure (Quantum ESPRESSO input):
```
&SYSTEM
  ibrav = 0, nat = 5, ntyp = 3
/
ATOMIC_SPECIES
Si 28.09 Si.upf
Pb 207.20 Pb.upf
Te 127.60 Te.upf
CELL_PARAMETERS angstrom
-3.0294 -2.7761 3.2363
4.0735 -0.7112 3.2030
-1.2599 4.3755 2.5739
ATOMIC_POSITIONS crystal
Si 0.5000 0.0000 0.0000
Si 0.0000 0.0000 0.5000
Pb 0.5000 0.5000 0.5000
Si 0.0000 0.5000 0.0000
Te 0.0000 0.0000 0.0000
```


Below is a geometry-optimized Mg3ZnGa2 structure, with properties calculated at the PBE level. Values from VASP.

Properties
formation enthalpy at 0 K = -0.11 eV/atom
energy = -2.1325 eV per atom
energy above the most stable polymorph in this dataset = 0.00 eV per formula unit
calculated volume = 113.0 Å³/cell
crystal system = orthorhombic

Structure (Quantum ESPRESSO input):
```
&SYSTEM
  ibrav = 0, nat = 6, ntyp = 3
/
ATOMIC_SPECIES
Mg 24.30 Mg.upf
Zn 65.41 Zn.upf
Ga 69.72 Ga.upf
CELL_PARAMETERS angstrom
3.8733 0.0000 0.0000
0.0000 4.2125 -1.3946
0.0000 -0.0392 6.9412
ATOMIC_POSITIONS crystal
Mg 0.5000 0.1653 0.3306
Zn 0.0000 0.0000 0.0000
Mg 0.5000 0.8347 0.6694
Ga 0.0000 0.3336 0.6672
Ga 0.0000 0.6664 0.3328
Mg 0.5000 0.5000 0.0000
```


Below is a geometry-optimized Zr2AlPt structure, with properties calculated at the PBE level. Values from VASP.

Properties
formation enthalpy at 0 K = -0.35 eV/atom
energy = -7.0747 eV per atom
calculated volume = 77.2 Å³/cell
crystal system = trigonal

Structure (Quantum ESPRESSO input):
```
&SYSTEM
  ibrav = 0, nat = 4, ntyp = 3
/
ATOMIC_SPECIES
Pt 195.08 Pt.upf
Al 26.98 Al.upf
Zr 91.22 Zr.upf
CELL_PARAMETERS angstrom
-0.7196 9.6106 -1.5594
-3.5970 8.8135 -2.1672
-2.7380 9.3443 0.7075
ATOMIC_POSITIONS crystal
Pt 0.7500 0.7500 0.7500
Al 0.2500 0.2500 0.2500
Zr 0.0028 0.0028 0.0028
Zr 0.4972 0.4972 0.4972
```


Below is a geometry-optimized LaAg2Au structure, with properties calculated at the PBE level. Values from VASP.

Properties
formation enthalpy at 0 K = -0.32 eV/atom
energy = -3.7974 eV per atom
energy above the most stable polymorph in this dataset = 0.40 eV per formula unit
calculated volume = 91.0 Å³/cell
crystal system = orthorhombic

Structure (Quantum ESPRESSO input):
```
&SYSTEM
  ibrav = 0, nat = 4, ntyp = 3
/
ATOMIC_SPECIES
La 138.91 La.upf
Ag 107.87 Ag.upf
Au 196.97 Au.upf
CELL_PARAMETERS angstrom
3.6355 0.0000 0.0000
0.0000 3.6812 0.2615
0.0000 3.2011 7.0270
ATOMIC_POSITIONS crystal
La 0.5000 0.7632 0.7368
Ag 0.0000 0.9538 0.0462
Ag 0.5000 0.2543 0.2456
Au 0.0000 0.5287 0.4714
```


Below is a geometry-optimized Ho3NiTe structure, with properties calculated at the PBE level. Values from VASP.

Properties
energy = -5.1622 eV per atom
energy above the most stable polymorph in this dataset = 0.41 eV per formula unit
ΔE_f (raw) = -631 meV per atom
calculated volume = 254.8 Å³/cell
crystal system = monoclinic

Structure (Quantum ESPRESSO input):
```
&SYSTEM
  ibrav = 0, nat = 10, ntyp = 3
/
ATOMIC_SPECIES
Ho 164.93 Ho.upf
Ni 58.69 Ni.upf
Te 127.60 Te.upf
CELL_PARAMETERS angstrom
3.9085 0.0000 0.0000
-1.9543 6.1613 -0.3730
0.0000 -1.3354 10.6624
ATOMIC_POSITIONS crystal
Ho 0.6062 0.2124 0.8837
Ni 0.5989 0.1979 0.5605
Ho 0.7607 0.5215 0.3403
Te 0.1307 0.2614 0.1183
Ho 0.9629 0.9258 0.6338
Ho 0.0371 0.0742 0.3662
Ho 0.2393 0.4785 0.6597
Ho 0.3938 0.7876 0.1163
Ni 0.4011 0.8021 0.4395
Te 0.8693 0.7386 0.8817
```


Below is a geometry-optimized BaYTa2 structure, with properties calculated at the PBE level. Values from VASP.

Properties
formation enthalpy at 0 K = 0.85 eV/atom
energy = -7.1738 eV per atom
energy above the most stable polymorph in this dataset = 1.67 eV per formula unit
calculated volume = 114.7 Å³/cell
crystal system = monoclinic

Structure (Quantum ESPRESSO input):
```
&SYSTEM
  ibrav = 0, nat = 4, ntyp = 3
/
ATOMIC_SPECIES
Y 88.91 Y.upf
Ta 180.95 Ta.upf
Ba 137.33 Ba.upf
CELL_PARAMETERS angstrom
4.8470 0.0000 0.0000
0.0000 3.2463 0.0216
0.0000 3.1994 7.3080
ATOMIC_POSITIONS crystal
Y 0.5000 0.2500 0.2500
Ta 0.0000 0.5688 0.4285
Ta 0.0000 0.9312 0.0715
Ba 0.5000 0.7500 0.7500
```


Below is a geometry-optimized CeMgPaTc structure, with properties calculated at the PBE level. Values from VASP.

Properties
formation enthalpy at 0 K = 0.00 eV/atom
energy = -6.8473 eV per atom
calculated volume = 82.0 Å³/cell
crystal system = cubic

Structure (Quantum ESPRESSO input):
```
&SYSTEM
  ibrav = 0, nat = 4, ntyp = 4
/
ATOMIC_SPECIES
Ce 140.12 Ce.upf
Mg 24.30 Mg.upf
Pa 231.04 Pa.upf
Tc 98.00 Tc.upf
CELL_PARAMETERS angstrom
-4.5828 -0.9864 -1.3433
-0.9476 -3.9220 -2.7385
-2.3398 -3.8165 1.9338
ATOMIC_POSITIONS crystal
Ce 0.7500 0.7500 0.7500
Mg 0.0000 0.0000 0.0000
Pa 0.5000 0.5000 0.5000
Tc 0.2500 0.2500 0.2500
```


Below is a geometry-optimized ReB2Mo structure, with properties calculated at the PBE level. Values from VASP.

Properties
formation enthalpy at 0 K = -0.17 eV/atom
energy = -9.3322 eV per atom
energy above the most stable polymorph in this dataset = 0.00 eV per formula unit
calculated volume = 173.9 Å³/cell
crystal system = orthorhombic

Structure (Quantum ESPRESSO input):
```
&SYSTEM
  ibrav = 0, nat = 16, ntyp = 3
/
ATOMIC_SPECIES
B 10.81 B.upf
Mo 95.94 Mo.upf
Re 186.21 Re.upf
CELL_PARAMETERS angstrom
-2.7617 -3.9875 1.8335
4.5621 -3.3029 -0.3116
1.4836 1.5254 5.5520
ATOMIC_POSITIONS crystal
B 0.4212 0.8611 0.0250
Mo 0.2500 0.0469 0.6882
Mo 0.2500 0.5469 0.8118
Re 0.2500 0.6930 0.3179
Re 0.2500 0.1930 0.1821
Re 0.7500 0.8070 0.8179
Re 0.7500 0.3070 0.6821
Mo 0.7500 0.4531 0.1882
B 0.5788 0.6389 0.5250
B 0.9212 0.6389 0.5250
B 0.9212 0.1389 0.9750
B 0.4212 0.3611 0.4750
Mo 0.7500 0.9531 0.3118
B 0.0788 0.3611 0.4750
B 0.5788 0.1389 0.9750
B 0.0788 0.8611 0.0250
```


Below is a geometry-optimized PmErOs4 structure, with properties calculated at the PBE level. Values from VASP.

Properties
formation enthalpy at 0 K = -0.21 eV/atom
energy = -9.2473 eV per atom
calculated volume = 110.2 Å³/cell
crystal system = cubic

Structure (Quantum ESPRESSO input):
```
&SYSTEM
  ibrav = 0, nat = 6, ntyp = 3
/
ATOMIC_SPECIES
Os 190.23 Os.upf
Er 167.26 Er.upf
Pm 145.00 Pm.upf
CELL_PARAMETERS angstrom
-2.2652 -3.9631 -2.8492
-1.0766 -4.7226 2.3437
-5.0989 -1.4276 0.9583
ATOMIC_POSITIONS crystal
Os 0.1244 0.6252 0.6252
Os 0.6252 0.1244 0.6252
Os 0.6252 0.6252 0.6252
Er 0.0000 0.0000 0.0000
Pm 0.2500 0.2500 0.2500
Os 0.6252 0.6252 0.1244
```


What are the total magnetization values for these records? In order: 1.03, 0.00, 0.00, 0.00, 0.00, 0.00, 0.00, 0.00, 0.00, 0.00, 0.00, 0.00 μB/f.u..